{"formula": "ZrPbSeBr2", "functional": "PBE", "state": "relaxed", "rho_g_cm3": 5.191, "crystal_system": "tetragonal", "m_tot_mub_per_fu": 0.475, "formation_energy_uncorrected_ev_per_fu": -2.61, "e_above_lowest_polymorph_mev_per_atom": 0, "e_tot_ev_per_atom": -4.339, "cell": [[5.578, 0.000, 0.000], [0.000, 5.578, 0.000], [0.000, 0.000, 5.524]], "species": ["Zr", "Pb", "Se", "Br", "Br"], "frac_coords": [[0.000, 0.000, 0.000], [0.500, 0.500, 0.500], [0.000, 0.000, 0.500], [0.000, 0.500, 0.000], [0.500, 0.000, 0.000]]}